{
  "formula": "TbPmCoNi",
  "functional": "PBE",
  "state": "optimized geometry",
  "e_above_lowest_polymorph_ev_per_atom": 0.080,
  "lattice_angstrom": [[-3.699, -1.913, -2.425], [-3.789, -1.775, 2.391], [-4.233, 2.298, -0.145]],
  "species": ["Ni", "Co", "Tb", "Pm"],
  "frac_coords": [[0.250, 0.250, 0.250], [0.750, 0.750, 0.750], [0.000, 0.000, 0.000], [0.500, 0.500, 0.500]]
}

---

{
  "formula": "BaAlCd2",
  "functional": "PBE",
  "state": "optimized geometry",
  "lattice_angstrom": [[-1.491, -3.319, 0.831], [1.458, 0.204, 3.427], [-6.691, 3.663, 2.628]],
  "species": ["Al", "Ba", "Cd", "Cd"],
  "frac_coords": [[0.500, 0.500, 0.250], [0.500, 0.500, 0.750], [0.000, 0.000, 0.058], [0.000, 0.000, 0.442]]
}

---

{
  "formula": "SrCrW3",
  "functional": "PBE",
  "state": "optimized geometry",
  "e_above_lowest_polymorph_ev_per_atom": 2.541,
  "lattice_angstrom": [[4.696, 0.000, 0.000], [0.000, 4.696, 0.000], [0.000, 0.000, 4.696]],
  "species": ["Sr", "W", "W", "W", "Cr"],
  "frac_coords": [[0.000, 0.000, 0.000], [0.000, 0.500, 0.000], [0.000, 0.000, 0.500], [0.500, 0.000, 0.000], [0.500, 0.500, 0.500]]
}

---

{
  "formula": "NdDy3YSc",
  "functional": "PBE",
  "state": "optimized geometry",
  "lattice_angstrom": [[-2.709, -1.339, -2.029], [5.403, 0.519, -7.555], [0.191, -10.622, 6.755]],
  "species": ["Nd", "Nd", "Dy", "Dy", "Dy", "Dy", "Dy", "Dy", "Y", "Y", "Sc", "Sc"],
  "frac_coords": [[0.250, 0.102, 0.648], [0.750, 0.898, 0.352], [0.250, 0.623, 0.446], [0.750, 0.893, 0.055], [0.750, 0.416, 0.180], [0.750, 0.377, 0.554], [0.250, 0.584, 0.820], [0.250, 0.107, 0.945], [0.750, 0.808, 0.713], [0.250, 0.192, 0.287], [0.250, 0.640, 0.100], [0.750, 0.360, 0.900]]
}

---

Calculated volume? In order: 79, 112, 104, 375 Å³ per cell.
D(E_F)? In order: 0.83, 0.78, 2.36, 1.62 states/eV per atom.
ΔH_f (0 K)? In order: -0.172, -0.056, 3.975, 0.061 eV per atom.